Record 1
This record from Alexandria describes a relaxed structure of BSbCl2. The functional is PBE.

Results
V   771 Å³ per cell

a b c (Å): 9.1679 9.1679 9.1679
angles (deg): 90.00 90.00 90.00
Last column: nearest neighbours and their distance in Å.
Space group Fd-3m (No. 227, origin choice 2)
Unique sites:
1 B 0.1250 0.1250 0.1250 x8  4 Cl 1.98
2 Sb 0.1250 0.1250 0.6250 x8  12 Cl 3.80, 4 Sb 3.97, 4 B 3.97
3 Cl 0.0000 0.0000 0.0000 x16  2 B 1.98


Record 2
This record from Alexandria describes a relaxed structure of BSbCl2. The functional is PBE.

Results
V   285 Å³ per cell

a b c (Å): 3.2820 3.2820 30.5494
angles (deg): 90.00 90.00 120.00
Last column: nearest neighbours and their distance in Å.
Space group R-3m (No. 166, hexagonal axes)
Unique sites:
1 B 0.0000 0.0000 0.0000 x3  2 Cl 1.67
2 Sb 0.0000 0.0000 0.5000 x3  6 Sb 3.28
3 Cl 0.0000 0.0000 0.0545 x6  1 B 1.67


Record 3
This record from Alexandria describes a relaxed structure of BSbCl3. The functional is PBE.

Results
V   154 Å³ per cell

a b c (Å): 5.3580 5.3580 5.3580
angles (deg): 90.00 90.00 90.00
Last column: nearest neighbours and their distance in Å.
Space group Pm-3m (No. 221)
Unique sites:
1 B 0.0000 0.0000 0.0000 x1  12 Cl 3.79
2 Sb 0.5000 0.5000 0.5000 x1  6 Cl 2.68
3 Cl 0.0000 0.5000 0.5000 x3  2 Sb 2.68


Number 1: size of the total moment 0.00 μB per cell, ΔE_f (raw) 0.6334 eV per atom. Number 2: size of the total moment 0.00 μB per cell, ΔE_f (raw) 0.2622 eV per atom. Number 3: size of the total moment 0.75 μB per cell, ΔE_f (raw) 0.5615 eV per atom.